Entry 1:
A relaxed structure of NaLiTeN2. Source: Alexandria, functional GGA-PBE.

The energy above the most stable polymorph in this dataset comes out at 0 meV/atom. The calculation puts the uncorrected formation energy at 1.331 eV/atom.

Cell lengths 4.3347, 4.3347, 5.2136 Å; angles 90.00, 90.00, 90.00 degrees
Site moments in Bohr magnetons follow the coordinates.
Atoms (fractional coordinates):
1 Te 0.0000 0.0000 0.5000  0.17
2 N 0.0000 0.5000 0.0000  1.43
3 N 0.5000 0.0000 0.0000  1.43
4 Li 0.0000 0.0000 0.0000  0.01
5 Na 0.5000 0.5000 0.5000  0.00

***

Entry 2:
A relaxed structure of NaLiTeN2. Source: Alexandria, functional GGA-PBE.

The energy above the most stable polymorph in this dataset comes out at 210 meV/atom. The calculation puts the uncorrected formation energy at 1.542 eV/atom.

Cell lengths 4.5945, 4.5945, 6.0902 Å; angles 90.00, 90.00, 90.00 degrees
Site moments in Bohr magnetons follow the coordinates.
Atoms (fractional coordinates):
1 N 0.5000 0.0000 0.0000  1.67
2 N 0.0000 0.5000 0.0000  1.67
3 Li 0.5000 0.5000 0.5000  0.00
4 Na 0.0000 0.0000 0.0000  0.02
5 Te 0.0000 0.0000 0.5000  0.39

***

Entry 3:
A relaxed structure of NaLiTiN2. Source: Alexandria, functional GGA-PBE.

The calculation puts the uncorrected formation energy at -0.883 eV/atom.

Cell lengths 3.4228, 5.7186, 7.0877 Å; angles 98.93, 90.00, 107.41 degrees
Atoms (fractional coordinates):
1 N 0.6166 0.2331 0.3002
2 N 0.3834 0.7669 0.6998
3 N 0.8852 0.7704 0.0542
4 N 0.1148 0.2296 0.9458
5 Na 0.6638 0.3276 0.6383
6 Na 0.3362 0.6724 0.3617
7 Ti 0.0542 0.1084 0.1887
8 Ti 0.9458 0.8916 0.8113
9 Li 0.3085 0.6171 0.9505
10 Li 0.6915 0.3829 0.0495

***

Entry 4:
A relaxed structure of Na3LiU2N6. Source: Alexandria, functional GGA-PBE.

The calculation puts the uncorrected formation energy at -0.683 eV/atom.

Cell lengths 5.7866, 5.7866, 6.1420 Å; angles 101.76, 101.76, 115.94 degrees
Site moments in Bohr magnetons follow the coordinates.
Atoms (fractional coordinates):
1 Li 0.0000 0.0000 0.0000  0.00
2 N 0.3151 0.3151 0.7944  0.08
3 N 0.6849 0.6849 0.2056  0.08
4 N 0.9498 0.5773 0.8086  0.12
5 N 0.0502 0.4227 0.1914  0.12
6 N 0.4227 0.0502 0.1914  0.12
7 N 0.5773 0.9498 0.8086  0.12
8 Na 0.1571 0.8429 0.5000  0.00
9 Na 0.5000 0.5000 0.5000  0.00
10 Na 0.8429 0.1571 0.5000  0.00
11 U 0.6710 0.3290 0.0000  0.08
12 U 0.3290 0.6710 0.0000  0.08

***

Entry 5:
A relaxed structure of NaLiUN3. Source: Alexandria, functional GGA-PBE.

The calculation puts the uncorrected formation energy at -0.663 eV/atom.

Cell lengths 3.6749, 5.7406, 7.2356 Å; angles 96.25, 90.00, 90.00 degrees
Atoms (fractional coordinates):
1 N 0.2500 0.8014 0.3806
2 N 0.7500 0.4884 0.1332
3 N 0.2500 0.5116 0.8668
4 N 0.7500 0.1986 0.6194
5 N 0.2500 0.0219 0.8768
6 N 0.7500 0.9781 0.1232
7 Li 0.7500 0.9552 0.3909
8 Li 0.2500 0.0448 0.6091
9 U 0.2500 0.7564 0.0996
10 U 0.7500 0.2436 0.9004
11 Na 0.2500 0.3394 0.3506
12 Na 0.7500 0.6606 0.6494

***

Entry 6:
A relaxed structure of Na2Li2UN4. Source: Alexandria, functional GGA-PBE.

The calculation puts the uncorrected formation energy at -0.485 eV/atom.

Cell lengths 3.5217, 6.5792, 7.7855 Å; angles 131.43, 90.00, 105.52 degrees
Site moments in Bohr magnetons follow the coordinates.
Atoms (fractional coordinates):
1 N 0.5595 0.1190 0.2315  0.25
2 N 0.8083 0.6166 0.9038  0.16
3 N 0.4405 0.8810 0.7685  0.25
4 N 0.1917 0.3834 0.0962  0.16
5 Li 0.6509 0.3017 0.9129  0.01
6 Li 0.3491 0.6983 0.0871  0.01
7 Na 0.8192 0.6383 0.4238  0.00
8 Na 0.1808 0.3617 0.5762  0.00
9 U 0.0000 0.0000 0.0000  0.00

***

Entry 7:
A relaxed structure of Na3LiU3N8. Source: Alexandria, functional GGA-PBE.

The calculation puts the uncorrected formation energy at -0.712 eV/atom.

Cell lengths 6.8231, 6.8230, 6.8425 Å; angles 118.88, 92.82, 117.80 degrees
Site moments in Bohr magnetons follow the coordinates.
Atoms (fractional coordinates):
1 Li 0.0000 0.0000 0.5000  0.01
2 Na 0.0000 0.5000 0.0000  0.00
3 Na 0.0000 0.0000 0.0000  0.00
4 Na 0.5000 0.5000 0.0000  0.00
5 N 0.7226 0.4766 0.6991  0.01
6 N 0.7587 0.0667 0.3255  0.33
7 N 0.2283 0.4779 0.6750  0.15
8 N 0.7717 0.5221 0.3250  0.15
9 N 0.3029 0.0533 0.3249  0.15
10 N 0.2774 0.5234 0.3009  0.01
11 N 0.6971 0.9467 0.6751  0.15
12 N 0.2413 0.9333 0.6745  0.33
13 U 0.5000 0.5000 0.5000  0.08
14 U 0.5000 0.0000 0.5000  0.04
15 U 0.0000 0.5000 0.5000  0.04

***

Entry 8:
A relaxed structure of LiNb3N4. Source: Alexandria, functional GGA-PBE.

The calculation puts the uncorrected formation energy at -0.997 eV/atom.

Cell lengths 3.1116, 5.3358, 5.3358 Å; angles 71.63, 90.00, 90.00 degrees
Atoms (fractional coordinates):
1 N 0.9999 0.2463 0.2538
2 N 0.9999 0.7539 0.7462
3 N 0.5000 0.7437 0.2436
4 N 0.4999 0.2565 0.7564
5 Nb 0.4999 0.0001 0.5000
6 Nb 0.0000 0.5000 0.5000
7 Nb 0.9999 0.0001 0.0001
8 Li 0.5000 0.5003 0.9998